The following is a DFT calculation (PBE) of In2SnGeF after structural relaxation.

The total magnetization comes out at 0.0 μB/cell. As for the crystal system: tetragonal. As for the volume: 123.1 Å³/f.u. The value obtained for the raw formation energy is -304 meV/atom. The value obtained for the calculated total energy is -3.498 eV/atom.

a b c (Å): 4.992 4.992 4.941
angles (deg): 90.00 90.00 90.00
Space group P4/mmm (No. 123)
Inequivalent atoms, fractional coordinates:
In (0.000, 0.500, 0.000) (multiplicity 2)
Sn (0.000, 0.000, 0.500) (multiplicity 1)
Ge (0.500, 0.500, 0.500) (multiplicity 1)
F (0.000, 0.000, 0.000) (multiplicity 1)